No. 1
The following is a GGA-PBEsol calculation of a geometry-optimized MnAu structure, from Alexandria.

a = 2.7269 Å, b = 2.7269 Å, c = 8.6486 Å
α = 90.00°, β = 90.00°, γ = 120.00°
Last column: nearest neighbours and their distance in Å.
Space group P-3m1 (No. 164)
Symmetry-distinct sites (fractional):
Mn1 0.3333 0.6667 0.4080 (multiplicity 2)  3 Mn 2.24
Au1 0.3333 0.6667 0.8507 (multiplicity 2)  9 Au 2.73-3.02, 3 Mn 2.74

VASP energy = -6.591 eV/atom
Calculated formation energy = 0.252 eV/atom
N(E_F) = 3.8 states/eV/cell

=====

No. 2
The following is a GGA-PBEsol calculation of a geometry-optimized Mn3Au structure, from Alexandria.

a = 3.8403 Å, b = 3.8403 Å, c = 3.8403 Å
α = 90.00°, β = 90.00°, γ = 90.00°
Last column: nearest neighbours and their distance in Å.
Space group Pm-3m (No. 221)
Symmetry-distinct sites (fractional):
Mn1 0.0000 0.0000 0.5000 (multiplicity 3)  8 Mn 2.72, 4 Au 2.72
Au1 0.5000 0.5000 0.5000 (multiplicity 1)  12 Mn 2.72

VASP energy = -7.898 eV/atom
Calculated formation energy = 0.403 eV/atom
N(E_F) = 4.4 states/eV/cell

=====

No. 3
The following is a GGA-PBEsol calculation of a geometry-optimized MnAu5 structure, from Alexandria.

a = 2.8930 Å, b = 2.8930 Å, c = 11.7961 Å
α = 90.00°, β = 90.00°, γ = 90.00°
Last column: nearest neighbours and their distance in Å.
Space group P4/mmm (No. 123)
Symmetry-distinct sites (fractional):
Mn1 0.0000 0.0000 0.0000 (multiplicity 1)  8 Au 2.72, 4 Mn 2.89
Au1 0.0000 0.0000 0.3278 (multiplicity 2)  12 Au 2.88-2.91
Au2 0.5000 0.5000 0.1520 (multiplicity 2)  4 Mn 2.72, 8 Au 2.89-2.91
Au3 0.5000 0.5000 0.5000 (multiplicity 1)  12 Au 2.88-2.89

VASP energy = -4.880 eV/atom
Calculated formation energy = 0.017 eV/atom
N(E_F) = 2.3 states/eV/cell

=====

No. 4
The following is a GGA-PBEsol calculation of a geometry-optimized MnAu5 structure, from Alexandria.

a = 9.1149 Å, b = 3.9537 Å, c = 5.7917 Å
α = 90.00°, β = 108.44°, γ = 90.00°
Last column: nearest neighbours and their distance in Å.
Space group C2/m (No. 12)
Symmetry-distinct sites (fractional):
Mn1 0.0000 0.0000 0.0000 (multiplicity 2)  12 Au 2.81-2.90
Au1 0.0000 0.0000 0.5000 (multiplicity 2)  10 Au 2.83-2.93, 2 Mn 2.90
Au2 0.1613 0.5000 0.3257 (multiplicity 4)  2 Mn 2.81, 10 Au 2.83-2.95
Au3 0.1661 0.5000 0.8378 (multiplicity 4)  9 Au 2.82-2.95, 3 Mn 2.83-2.89

VASP energy = -4.906 eV/atom
Calculated formation energy = -0.009 eV/atom
N(E_F) = 4.5 states/eV/cell

=====

No. 5
The following is a GGA-PBEsol calculation of a geometry-optimized MnAu5 structure, from Alexandria.

a = 4.9162 Å, b = 4.9162 Å, c = 4.7262 Å
α = 90.00°, β = 90.00°, γ = 120.00°
Last column: nearest neighbours and their distance in Å.
Space group P-62m (No. 189)
Symmetry-distinct sites (fractional):
Mn1 0.0000 0.0000 0.0000 (multiplicity 1)  12 Au 2.84-2.86
Au1 0.0000 0.3271 0.5000 (multiplicity 3)  10 Au 2.79-2.88, 2 Mn 2.86
Au2 0.3333 0.6667 0.0000 (multiplicity 2)  3 Mn 2.84, 9 Au 2.84-2.88

VASP energy = -4.894 eV/atom
Calculated formation energy = 0.003 eV/atom
N(E_F) = 2.7 states/eV/cell

=====

No. 6
The following is a GGA-PBEsol calculation of a geometry-optimized MnAu8 structure, from Alexandria.

a = 8.6439 Å, b = 8.6439 Å, c = 4.0134 Å
α = 90.00°, β = 90.00°, γ = 90.00°
Last column: nearest neighbours and their distance in Å.
Space group I4/mmm (No. 139)
Symmetry-distinct sites (fractional):
Mn1 0.0000 0.0000 0.0000 (multiplicity 2)  12 Au 2.82-2.85
Au1 0.0000 0.3302 0.0000 (multiplicity 8)  11 Au 2.85-2.94, 1 Mn 2.85
Au2 0.1626 0.1626 0.5000 (multiplicity 8)  10 Au 2.81-2.93, 2 Mn 2.82

VASP energy = -4.574 eV/atom
Calculated formation energy = -0.002 eV/atom
N(E_F) = 7.0 states/eV/cell

=====

No. 7
The following is a GGA-PBEsol calculation of a geometry-optimized Mn3Au2 structure, from Alexandria.

a = 2.7154 Å, b = 2.7154 Å, c = 32.3977 Å
α = 90.00°, β = 90.00°, γ = 120.00°
Last column: nearest neighbours and their distance in Å.
Space group R-3m (No. 166, hexagonal axes)
Symmetry-distinct sites (fractional):
Mn1 0.0000 0.0000 0.0000 (multiplicity 3)  6 Mn 2.72, 6 Au 2.76
Mn2 0.0000 0.0000 0.1920 (multiplicity 6)  3 Mn 2.27
Au1 0.0000 0.0000 0.4034 (multiplicity 6)  6 Au 2.72, 6 Mn 2.76-2.79

VASP energy = -7.076 eV/atom
Calculated formation energy = 0.351 eV/atom
N(E_F) = 15.7 states/eV/cell

=====

No. 8
The following is a GGA-PBEsol calculation of a geometry-optimized Mn3Au structure, from Alexandria.

a = 2.6128 Å, b = 2.6128 Å, c = 25.3107 Å
α = 90.00°, β = 90.00°, γ = 120.00°
Last column: nearest neighbours and their distance in Å.
Space group R-3m (No. 166, hexagonal axes)
Symmetry-distinct sites (fractional):
Mn1 0.0000 0.0000 0.0000 (multiplicity 3)  12 Mn 2.42-2.61
Mn2 0.0000 0.0000 0.2584 (multiplicity 6)  9 Mn 2.42-2.61
Au1 0.0000 0.0000 0.5000 (multiplicity 3)  6 Au 2.61, 6 Mn 2.77

VASP energy = -7.968 eV/atom
Calculated formation energy = 0.334 eV/atom
N(E_F) = 15.0 states/eV/cell

=====

No. 9
The following is a GGA-PBEsol calculation of a geometry-optimized Mn9Au31 structure, from Alexandria.

a = 12.7806 Å, b = 12.7806 Å, c = 3.9845 Å
α = 90.00°, β = 90.00°, γ = 90.00°
Last column: nearest neighbours and their distance in Å.
Space group P4/m (No. 83)
Symmetry-distinct sites (fractional):
Mn1 0.0000 0.0000 0.0000 (multiplicity 1)  12 Au 2.82-2.87
Mn2 0.0499 0.3485 0.5000 (multiplicity 4)  12 Au 2.80-2.87
Mn3 0.2981 0.6017 0.0000 (multiplicity 4)  12 Au 2.79-2.89
Au1 0.0000 0.5000 0.0000 (multiplicity 2)  8 Au 2.82-2.85, 4 Mn 2.85
Au2 0.0480 0.8511 0.5000 (multiplicity 4)  9 Au 2.82-2.94, 3 Mn 2.82-2.84
Au3 0.0983 0.2018 0.0000 (multiplicity 4)  3 Mn 2.80-2.87, 9 Au 2.82-2.92
Au4 0.0989 0.6975 0.0000 (multiplicity 4)  3 Mn 2.82-2.83, 9 Au 2.82-2.92
Au5 0.1500 0.5492 0.5000 (multiplicity 4)  8 Au 2.83-2.86, 4 Mn 2.83-2.87
Au6 0.1994 0.4003 0.0000 (multiplicity 4)  8 Au 2.82-2.86, 4 Mn 2.84-2.87
Au7 0.2522 0.2534 0.5000 (multiplicity 4)  3 Mn 2.79-2.86, 9 Au 2.82-2.94
Au8 0.3510 0.4523 0.5000 (multiplicity 4)  8 Au 2.82-2.86, 4 Mn 2.84-2.87
Au9 0.5000 0.5000 0.0000 (multiplicity 1)  8 Au 2.82, 4 Mn 2.89

VASP energy = -5.267 eV/atom
Calculated formation energy = -0.030 eV/atom
N(E_F) = 13.3 states/eV/cell

=====

No. 10
The following is a GGA-PBEsol calculation of a geometry-optimized MnAu3 structure, from Alexandria.

a = 9.2763 Å, b = 3.1159 Å, c = 4.6660 Å
α = 90.00°, β = 104.63°, γ = 90.00°
Last column: nearest neighbours and their distance in Å.
Space group C2/m (No. 12)
Symmetry-distinct sites (fractional):
Mn1 0.0000 0.0000 0.0000 (multiplicity 2)  10 Au 2.73-2.89
Au1 0.0000 0.5000 0.5000 (multiplicity 2)  8 Au 2.80-3.12, 4 Mn 2.81
Au2 0.2419 0.5000 0.2413 (multiplicity 4)  3 Mn 2.73-2.89, 7 Au 2.77-2.86

VASP energy = -5.354 eV/atom
Calculated formation energy = 0.029 eV/atom
N(E_F) = 3.4 states/eV/cell

=====

No. 11
The following is a GGA-PBEsol calculation of a geometry-optimized MnAu3 structure, from Alexandria.

a = 4.0362 Å, b = 4.0362 Å, c = 4.0362 Å
α = 90.00°, β = 90.00°, γ = 90.00°
Last column: nearest neighbours and their distance in Å.
Space group Pm-3m (No. 221)
Symmetry-distinct sites (fractional):
Mn1 0.0000 0.0000 0.0000 (multiplicity 1)  12 Au 2.85
Au1 0.0000 0.5000 0.5000 (multiplicity 3)  4 Mn 2.85, 8 Au 2.85

VASP energy = -5.338 eV/atom
Calculated formation energy = 0.046 eV/atom
N(E_F) = 2.3 states/eV/cell

=====

No. 12
The following is a GGA-PBEsol calculation of a geometry-optimized MnAu structure, from Alexandria.

a = 3.8840 Å, b = 3.8840 Å, c = 5.6487 Å
α = 90.00°, β = 90.00°, γ = 120.00°
Last column: nearest neighbours and their distance in Å.
Space group P6_3/mmc (No. 194)
Symmetry-distinct sites (fractional):
Mn1 0.3333 0.6667 0.2500 (multiplicity 2)  6 Au 2.65
Au1 0.0000 0.0000 0.0000 (multiplicity 2)  6 Mn 2.65, 2 Au 2.82

VASP energy = -6.393 eV/atom
Calculated formation energy = 0.449 eV/atom
N(E_F) = 2.6 states/eV/cell

=====

No. 13
The following is a GGA-PBEsol calculation of a geometry-optimized Mn2ReMoAu structure, from Alexandria.

a = 4.4576 Å, b = 4.4576 Å, c = 4.6083 Å
α = 90.00°, β = 90.00°, γ = 90.00°
Last column: nearest neighbours and their distance in Å.
Space group P4/mmm (No. 123)
Symmetry-distinct sites (fractional):
Mn1 0.0000 0.5000 0.0000 (multiplicity 2)  2 Mo 2.23
Re1 0.0000 0.0000 0.5000 (multiplicity 1)  2 Mo 2.30
Mo1 0.0000 0.0000 0.0000 (multiplicity 1)  4 Mn 2.23, 2 Re 2.30
Au1 0.5000 0.5000 0.5000 (multiplicity 1)  4 Re 3.15, 8 Mn 3.21

VASP energy = -8.010 eV/atom
Calculated formation energy = 1.699 eV/atom
N(E_F) = 3.5 states/eV/cell